Record 1
Below is crystalline Tb8Y3Th3 at its relaxed geometry, with properties calculated at the PBE level.

Properties
The calculation puts the size of the total moment at 0.00 μB per cell. As for the total energy: -5.461 eV per atom. The formation enthalpy at 0 K is 160 meV per atom. Its space group is Immm.

Geometry as extended XYZ:
```
14
Lattice="-2.845 5.344 7.490 2.845 -5.344 7.490 2.845 5.344 -7.490" Properties=species:S:1:pos:R:3 pbc="T T T"
Tb 2.845 1.722 -1.538
Tb 2.845 3.651 -4.136
Tb 2.845 1.722 1.538
Tb 0.000 1.693 3.355
Tb 2.845 3.651 4.136
Tb 0.000 3.622 5.952
Tb 0.000 1.693 11.626
Tb 0.000 3.622 9.029
Y 0.000 0.000 0.000
Y 0.000 3.315 0.000
Y 0.000 7.374 0.000
Th 2.845 0.000 4.693
Th 0.000 0.000 7.490
Th 0.000 5.344 2.798
```

---

Record 2
Below is crystalline Tb7Y3Th2 at its relaxed geometry, with properties calculated at the PBE level.

Properties
The calculation puts the size of the total moment at 0.00 μB per cell. As for the total energy: -5.525 eV per atom. The formation enthalpy at 0 K is 29 meV per atom. Its space group is P-1.

Geometry as extended XYZ:
```
12
Lattice="3.601 0.000 0.000 -0.001 6.227 0.000 -1.796 -0.983 17.297" Properties=species:S:1:pos:R:3 pbc="T T T"
Tb 0.000 0.000 0.000
Tb 0.003 4.138 2.873
Tb 0.002 4.135 8.637
Tb 0.001 4.192 14.410
Tb 1.803 1.052 2.887
Tb 1.802 1.109 8.661
Tb 1.801 1.106 14.424
Y 0.002 -0.017 5.763
Y 1.800 3.114 0.000
Y 1.802 5.261 11.534
Th 0.002 2.090 11.561
Th 1.802 3.153 5.737
```

---

Record 3
Below is crystalline TbYTh at its relaxed geometry, with properties calculated at the PBE level.

Properties
The calculation puts the size of the total moment at 0.00 μB per cell. As for the total energy: -6.147 eV per atom. The formation enthalpy at 0 K is 24 meV per atom. Its space group is I4mm.

Geometry as extended XYZ:
```
3
Lattice="-1.795 1.795 7.518 1.795 -1.795 7.518 1.795 1.795 -7.518" Properties=species:S:1:pos:R:3 pbc="T T T"
Tb 0.000 0.000 0.000
Y 0.000 0.000 4.833
Th 0.000 0.000 9.922
```

---

Record 4
Below is crystalline Tb6YTh at its relaxed geometry, with properties calculated at the PBE level.

Properties
The calculation puts the size of the total moment at 0.00 μB per cell. As for the total energy: -4.993 eV per atom. The formation enthalpy at 0 K is 215 meV per atom. Its space group is P-1.

Geometry as extended XYZ:
```
8
Lattice="6.616 0.000 0.000 0.208 6.633 0.000 0.447 3.272 5.896" Properties=species:S:1:pos:R:3 pbc="T T T"
Tb 1.641 0.501 0.087
Tb 1.909 1.859 3.042
Tb 1.810 3.782 0.047
Tb 5.462 6.123 5.850
Tb 5.363 8.046 2.854
Tb 5.631 9.404 5.809
Y 0.328 4.953 2.948
Th 3.636 4.953 2.948
```

---

Record 5
Below is crystalline Tb2Y2Th at its relaxed geometry, with properties calculated at the PBE level.

Properties
The calculation puts the size of the total moment at 0.00 μB per cell. As for the total energy: -5.856 eV per atom. The formation enthalpy at 0 K is 66 meV per atom. Its space group is Cmc2_1.

Geometry as extended XYZ:
```
10
Lattice="2.730 -8.428 0.000 2.730 8.428 0.000 0.000 0.000 7.002" Properties=species:S:1:pos:R:3 pbc="T T T"
Tb 2.730 6.626 3.501
Tb 2.730 3.365 5.254
Tb 2.730 -3.365 1.753
Tb 2.730 -6.626 0.000
Y 2.730 3.364 1.759
Y 2.730 0.011 5.250
Y 2.730 -0.011 1.749
Y 2.730 -3.364 5.260
Th 2.730 6.594 0.006
Th 2.730 -6.594 3.507
```

---

Record 6
Below is crystalline Tb12Y3Th at its relaxed geometry, with properties calculated at the PBE level.

Properties
The calculation puts the size of the total moment at 0.00 μB per cell. As for the total energy: -5.124 eV per atom. The formation enthalpy at 0 K is 24 meV per atom. Its space group is P4/mmm.

Geometry as extended XYZ:
```
16
Lattice="5.046 0.000 0.000 0.000 5.046 0.000 0.000 0.000 20.136" Properties=species:S:1:pos:R:3 pbc="T T T"
Tb 0.000 0.000 0.000
Tb 0.000 0.000 5.011
Tb 0.000 0.000 10.068
Tb 0.000 0.000 15.125
Tb 0.000 2.523 2.524
Tb 0.000 2.523 7.587
Tb 0.000 2.523 12.549
Tb 0.000 2.523 17.611
Tb 2.523 0.000 2.524
Tb 2.523 0.000 7.587
Tb 2.523 0.000 12.549
Tb 2.523 0.000 17.611
Y 2.523 2.523 0.000
Y 2.523 2.523 5.045
Y 2.523 2.523 15.091
Th 2.523 2.523 10.068
```

---

Record 7
Below is crystalline Tb5Y2Th3 at its relaxed geometry, with properties calculated at the PBE level.

Properties
The calculation puts the size of the total moment at 0.00 μB per cell. As for the total energy: -5.796 eV per atom. The formation enthalpy at 0 K is 38 meV per atom. Its space group is C2/m.

Geometry as extended XYZ:
```
10
Lattice="5.631 -2.524 0.000 5.631 2.524 0.000 -0.085 0.000 11.311" Properties=species:S:1:pos:R:3 pbc="T T T"
Tb 0.000 0.000 0.000
Tb 2.202 0.000 6.778
Tb 3.317 0.000 10.164
Tb 7.860 0.000 1.147
Tb 8.974 0.000 4.533
Y 4.506 0.000 2.292
Y 6.671 0.000 9.019
Th 1.083 0.000 3.401
Th 5.588 0.000 5.656
Th 10.093 0.000 7.910
```

---

Record 8
Below is crystalline Tb6Y5Th at its relaxed geometry, with properties calculated at the PBE level.

Properties
The calculation puts the size of the total moment at 0.00 μB per cell. As for the total energy: -5.600 eV per atom. The formation enthalpy at 0 K is 27 meV per atom. Its space group is C2/m.

Geometry as extended XYZ:
```
12
Lattice="3.091 -5.353 0.000 3.091 5.353 0.000 -2.065 0.000 11.666" Properties=species:S:1:pos:R:3 pbc="T T T"
Tb -0.017 1.764 8.742
Tb 1.006 0.000 2.926
Tb -0.017 -1.764 8.742
Tb 4.134 1.764 2.924
Tb 3.111 0.000 8.740
Tb 4.134 -1.764 2.924
Y 3.091 3.562 0.000
Y 2.059 1.784 5.833
Y 3.091 0.000 0.000
Y 2.059 -1.784 5.833
Y 3.091 -3.562 0.000
Th -1.032 0.000 5.833
```